A relaxed K3WF7 crystal. Source: Alexandria via LeMat-Bulk, functional GGA+U.

Results
Space group = Cm, No. 8
Density of states at the Fermi level = 0.00 states/eV/cell
DFT total energy = -54.97 eV per cell

Cell and atoms, written as POSCAR:
```
K3WF7
1.0
4.405 -4.321 0.000
4.405 4.321 0.000
-4.090 0.000 5.200
K W F
3 1 7
direct
0.000 0.000 0.000 K
0.261 0.729 0.546 K
0.729 0.261 0.546 K
0.536 0.536 0.092 W
0.198 0.487 0.788 F
0.373 0.373 0.222 F
0.379 0.832 0.228 F
0.487 0.198 0.788 F
0.686 0.686 0.943 F
0.807 0.807 0.467 F
0.832 0.379 0.228 F
```